No. 1
This record from Alexandria describes a geometry-optimized La2ZrSi structure. The functional is PBE.

a = 8.8028 Å, b = 8.8028 Å, c = 5.7287 Å
α = 90.00°, β = 90.00°, γ = 90.00°
Space group I-42d (No. 122)
Unique sites:
La (0.2042, 0.2500, 0.1250) (multiplicity 8)
Zr (0.0000, 0.0000, 0.5000) (multiplicity 4)
Si (0.0000, 0.0000, 0.0000) (multiplicity 4)

Results
V, Å³ per cell: 443.9
Density of states at the Fermi level, states/eV per atom: 0.83
E_tot, eV/atom: -5.89
Energy relative to the elements, uncorrected, eV per atom: 0.06

No. 2
This record from Alexandria describes a geometry-optimized La2ZrSi structure. The functional is PBE.

a = 3.8602 Å, b = 3.8602 Å, c = 27.9688 Å
α = 90.00°, β = 90.00°, γ = 120.00°
Space group R3m (No. 160, hexagonal axes)
Unique sites:
La (0.0000, 0.0000, 0.0000) (multiplicity 3)
La (0.0000, 0.0000, 0.2119) (multiplicity 3)
Zr (0.0000, 0.0000, 0.4529) (multiplicity 3)
Si (0.0000, 0.0000, 0.7350) (multiplicity 3)

Results
V, Å³ per cell: 360.9
Density of states at the Fermi level, states/eV per atom: 0.78
E_tot, eV/atom: -6.14
Energy relative to the elements, uncorrected, eV per atom: -0.18

No. 3
This record from Alexandria describes a geometry-optimized La2ZrSi structure. The functional is PBE.

a = 3.7081 Å, b = 3.7081 Å, c = 7.7674 Å
α = 90.00°, β = 90.00°, γ = 90.00°
Space group P4mm (No. 99)
Unique sites:
La (0.0000, 0.0000, 0.0000) (multiplicity 1)
La (0.5000, 0.5000, 0.3448) (multiplicity 1)
Zr (0.5000, 0.5000, 0.7192) (multiplicity 1)
Si (0.0000, 0.0000, 0.5902) (multiplicity 1)

Results
V, Å³ per cell: 106.8
Density of states at the Fermi level, states/eV per atom: 0.87
E_tot, eV/atom: -6.25
Energy relative to the elements, uncorrected, eV per atom: -0.29

Which formula does entry 2 have?
La2ZrSi

The highest density of states at the Fermi level belongs to which entry?
number 3

What is the V in the second record?
360.9 Å³ per cell

energy relative to the elements, uncorrected of number 1 (La2ZrSi)?
0.06 eV per atom